## BaPdI (PBE-GGA)

Data for BaPdI after structural relaxation.

a b c (Å): 12.137 4.651 7.869
angles (deg): 90.00 90.00 90.00
Fractional positions:
1 Ba 0.166 0.000 0.000
2 Ba 0.166 0.500 0.500
3 Ba 0.834 0.000 0.000
4 Ba 0.834 0.500 0.500
5 Pd 0.000 0.000 0.661
6 Pd 0.000 0.500 0.161
7 Pd 0.500 0.000 0.920
8 Pd 0.500 0.500 0.420
9 I 0.346 0.000 0.666
10 I 0.346 0.500 0.166
11 I 0.654 0.000 0.666
12 I 0.654 0.500 0.166

## Properties
Space group   Amm2, No. 38

## HfGaP2S (PBE-GGA)

Data for HfGaP2S after structural relaxation.

a b c (Å): 4.561 4.561 4.692
angles (deg): 90.00 90.00 90.00
Fractional positions:
1 Hf 0.000 0.000 0.000
2 Ga 0.500 0.500 0.500
3 P 0.000 0.500 0.500
4 P 0.500 0.000 0.500
5 S 0.500 0.500 0.000

## Properties
Excess energy over the best structure of this formula in the dataset   0.472 eV/atom
Space group   P4/mmm, No. 123

## Li7Ca2In (PBE-GGA)

Data for Li7Ca2In after structural relaxation.

a b c (Å): 7.192 7.192 7.192
angles (deg): 60.00 60.00 60.00
Fractional positions:
1 Li 0.000 0.000 0.000
2 Li 0.244 0.244 0.756
3 Li 0.244 0.756 0.244
4 Li 0.244 0.756 0.756
5 Li 0.756 0.244 0.244
6 Li 0.756 0.244 0.756
7 Li 0.756 0.756 0.244
8 Ca 0.250 0.250 0.250
9 Ca 0.750 0.750 0.750
10 In 0.500 0.500 0.500

## Properties
Formation enthalpy at 0 K   0.09 eV/atom
Space group   Fm-3m, No. 225

## BaFe2Si (PBE-GGA)

Data for BaFe2Si after structural relaxation.

a b c (Å): 4.636 4.636 3.451
angles (deg): 90.00 90.00 90.00
Fractional positions:
1 Ba 0.000 0.000 0.000
2 Fe 0.000 0.500 0.500
3 Fe 0.500 0.000 0.500
4 Si 0.500 0.500 0.000

## Properties
Space group   P4/mmm, No. 123

## La2W3 (PBE-GGA)

Data for La2W3 after structural relaxation.

a b c (Å): 3.119 3.119 12.985
angles (deg): 90.00 90.00 120.00
Fractional positions:
1 La 0.333 0.667 0.288
2 La 0.667 0.333 0.712
3 W 0.000 0.000 0.500
4 W 0.333 0.667 0.930
5 W 0.667 0.333 0.070

## Properties
Formation enthalpy at 0 K   0.94 eV/atom
Space group   P-3m1, No. 164

## Tl2PtPb (PBE-GGA)

Data for Tl2PtPb after structural relaxation.

a b c (Å): 4.806 4.821 8.816
angles (deg): 90.00 90.00 90.00
Fractional positions:
1 Tl 0.000 0.000 0.196
2 Tl 0.000 0.000 0.804
3 Tl 0.500 0.500 0.196
4 Tl 0.500 0.500 0.804
5 Pt 0.000 0.500 0.000
6 Pt 0.500 0.000 0.000
7 Pb 0.000 0.500 0.500
8 Pb 0.500 0.000 0.500

## Properties
Formation enthalpy at 0 K   0.08 eV/atom
Excess energy over the best structure of this formula in the dataset   0.126 eV/atom
Space group   Cmmm, No. 65

Number 1: DFT total energy -3.4854 eV per atom, D(E_F) 1.63 states/eV per cell. Number 2: DFT total energy -5.0963 eV per atom, D(E_F) 4.72 states/eV per cell. Number 3: DFT total energy -1.9233 eV per atom, D(E_F) 8.65 states/eV per cell. Number 4: DFT total energy -5.1808 eV per atom, D(E_F) 3.83 states/eV per cell. Number 5: DFT total energy -8.8016 eV per atom, D(E_F) 6.61 states/eV per cell. Number 6: DFT total energy -3.5449 eV per atom, D(E_F) 4.76 states/eV per cell.